Below is a relaxed structure of Sr6Pb3I, with properties calculated at the PBE level.

Computed properties:
For the raw formation energy, the calculation gives -0.611 eV/atom. As for the symmetry: Cmc2_1 (36). The calculation puts the electronic total energy at -2.888 eV per atom. The total magnetization comes out at 1.3 Bohr magnetons per cell.

Structure (POSCAR):
```
Sr6Pb3I
1.0
8.492 0.000 0.000
0.000 10.458 -0.309
0.000 -2.635 10.125
Sr Pb I
12 6 2
Cartesian
1.520 5.520 6.322
5.766 4.930 6.792
1.869 2.286 8.954
6.115 8.218 4.226
1.984 -2.621 10.114
5.334 0.561 7.578
1.089 7.262 2.238
6.230 10.444 -0.298
1.869 -0.395 5.590
6.115 5.537 0.862
1.520 2.892 3.024
5.766 2.303 3.494
3.997 7.917 6.970
8.243 5.027 9.273
3.368 2.643 5.919
7.614 5.179 3.897
8.243 -0.094 2.846
3.997 2.795 0.543
8.384 -0.454 8.387
4.138 8.277 1.429
```



Below is a relaxed structure of Nd7ZnSe5, with properties calculated at the PBE level.

Computed properties:
For the raw formation energy, the calculation gives -1.445 eV/atom. As for the symmetry: C2/m (12). The calculation puts the electronic total energy at -5.450 eV per atom. The total magnetization comes out at 0.0 Bohr magnetons per cell.

Structure (POSCAR):
```
Nd7ZnSe5
1.0
-0.807 -3.648 -1.872
5.672 -1.099 4.362
-15.695 -6.192 18.830
Nd Zn Se
14 2 10
Cartesian
0.999 -4.279 7.907
-11.823 -6.664 13.416
0.476 -2.860 0.704
-11.300 -8.083 20.620
-4.608 -5.443 12.591
-6.218 -5.500 8.732
-0.779 -2.228 4.678
-10.044 -8.715 16.647
-7.798 -7.831 13.956
-3.028 -3.111 7.367
2.258 -4.928 3.966
-13.081 -6.015 17.358
-8.662 -4.273 12.060
-2.163 -6.669 9.263
-1.130 -5.149 5.858
-9.696 -5.793 15.467
-15.691 -6.194 18.832
-12.614 -8.879 18.074
1.791 -2.064 3.250
-5.440 -4.340 6.138
-5.386 -6.601 15.185
-7.845 -3.098 9.417
-3.805 -4.270 9.960
-7.021 -6.672 11.364
-8.728 -7.918 19.191
-2.095 -3.025 2.133
```



Copy entry 1 word for word.
Below is a relaxed structure of Sr6Pb3I, with properties calculated at the PBE level.

Computed properties:
For the raw formation energy, the calculation gives -0.611 eV/atom. As for the symmetry: Cmc2_1 (36). The calculation puts the electronic total energy at -2.888 eV per atom. The total magnetization comes out at 1.3 Bohr magnetons per cell.

Structure (POSCAR):
```
Sr6Pb3I
1.0
8.492 0.000 0.000
0.000 10.458 -0.309
0.000 -2.635 10.125
Sr Pb I
12 6 2
Cartesian
1.520 5.520 6.322
5.766 4.930 6.792
1.869 2.286 8.954
6.115 8.218 4.226
1.984 -2.621 10.114
5.334 0.561 7.578
1.089 7.262 2.238
6.230 10.444 -0.298
1.869 -0.395 5.590
6.115 5.537 0.862
1.520 2.892 3.024
5.766 2.303 3.494
3.997 7.917 6.970
8.243 5.027 9.273
3.368 2.643 5.919
7.614 5.179 3.897
8.243 -0.094 2.846
3.997 2.795 0.543
8.384 -0.454 8.387
4.138 8.277 1.429
```



Q: What is the formula in the second record?
A: Nd7ZnSe5



What did the second record say?
Below is a relaxed structure of Nd7ZnSe5, with properties calculated at the PBE level.

Computed properties:
For the raw formation energy, the calculation gives -1.445 eV/atom. As for the symmetry: C2/m (12). The calculation puts the electronic total energy at -5.450 eV per atom. The total magnetization comes out at 0.0 Bohr magnetons per cell.

Structure (POSCAR):
```
Nd7ZnSe5
1.0
-0.807 -3.648 -1.872
5.672 -1.099 4.362
-15.695 -6.192 18.830
Nd Zn Se
14 2 10
Cartesian
0.999 -4.279 7.907
-11.823 -6.664 13.416
0.476 -2.860 0.704
-11.300 -8.083 20.620
-4.608 -5.443 12.591
-6.218 -5.500 8.732
-0.779 -2.228 4.678
-10.044 -8.715 16.647
-7.798 -7.831 13.956
-3.028 -3.111 7.367
2.258 -4.928 3.966
-13.081 -6.015 17.358
-8.662 -4.273 12.060
-2.163 -6.669 9.263
-1.130 -5.149 5.858
-9.696 -5.793 15.467
-15.691 -6.194 18.832
-12.614 -8.879 18.074
1.791 -2.064 3.250
-5.440 -4.340 6.138
-5.386 -6.601 15.185
-7.845 -3.098 9.417
-3.805 -4.270 9.960
-7.021 -6.672 11.364
-8.728 -7.918 19.191
-2.095 -3.025 2.133
```